# 1
This record from the Alexandria database describes a relaxed structure of AgMoIr2. The functional is GGA-PBEsol.

Properties
**Mass density**: 16.3 Mg/m³
**Space group**: No. 12
**N(E_F)**: 0.82 states/eV per atom

a = 5.3065 Å, b = 5.3065 Å, c = 2.7096 Å
α = 104.12°, β = 104.12°, γ = 117.38°
Sites, in units of the cell vectors:
Ag 0.0000 0.0000 0.0000
Mo 0.5000 0.5000 0.0000
Ir 0.0000 0.5000 0.5000
Ir 0.5000 0.0000 0.5000

# 2
This record from the Alexandria database describes a relaxed structure of LiCuCl2. The functional is GGA-PBEsol.

Properties
**Mass density**: 3.1 Mg/m³
**Space group**: No. 122
**E_form (uncorrected)**: -1.091 eV per atom
**N(E_F)**: 0.00 states/eV per atom

a = 6.5790 Å, b = 6.5790 Å, c = 6.5790 Å
α = 132.14°, β = 132.14°, γ = 70.01°
Sites, in units of the cell vectors:
Li 0.0000 0.0000 0.0000
Li 0.7500 0.2500 0.5000
Cu 0.2500 0.7500 0.5000
Cu 0.5000 0.5000 0.0000
Cl 0.1338 0.6250 0.0088
Cl 0.3750 0.3838 0.5088
Cl 0.6162 0.1250 0.9912
Cl 0.8750 0.8662 0.4912

| no. | final energy (eV per atom) |
| --- | --- |
| 1 | -8.288 |
| 2 | -3.670 |